Record 1
Computed, not measured: Y2P7Ir12 after structural relaxation at the GGA-PBE level of DFT.

Geometry as CIF:
```
data_Y2P7Ir12
_symmetry_space_group_name_H-M 'P -3'
_symmetry_Int_Tables_number 147
_symmetry_space_group_name_Hall '-P 3'
_cell_length_a 9.6084
_cell_length_b 9.6084
_cell_length_c 3.9635
_cell_angle_alpha 90.00
_cell_angle_beta 90.00
_cell_angle_gamma 120.00
loop_
_atom_site_label
_atom_site_type_symbol
_atom_site_fract_x
_atom_site_fract_y
_atom_site_fract_z
Y1 Y 0.3333 0.6667 0.2516
P1 P 0.0000 0.0000 0.0000
P2 P 0.1251 0.4080 0.7455
Ir1 Ir 0.0703 0.6156 0.7529
Ir2 Ir 0.1057 0.8427 0.2597
```

Computed properties:
* mass density: 14.15 g cm⁻³
* formation energy: -0.660 eV per atom
* uncorrected energy: -170.98 eV for the cell shown

Record 2
Computed, not measured: YP2Ir after structural relaxation at the GGA-PBE level of DFT.

Geometry as CIF:
```
data_YP2Ir
_symmetry_space_group_name_H-M 'I -4 2 d'
_symmetry_Int_Tables_number 122
_symmetry_space_group_name_Hall 'I -4 2bw'
_cell_length_a 4.4749
_cell_length_b 4.4749
_cell_length_c 15.8305
_cell_angle_alpha 90.00
_cell_angle_beta 90.00
_cell_angle_gamma 90.00
loop_
_atom_site_label
_atom_site_type_symbol
_atom_site_fract_x
_atom_site_fract_y
_atom_site_fract_z
Y1 Y 0.0000 0.0000 0.0000
P1 P 0.1228 0.2500 0.6250
Ir1 Ir 0.0000 0.0000 0.5000
```

Computed properties:
* mass density: 7.19 g cm⁻³
* offset from the most stable computed form: 149 kJ/mol of formula units
* formation energy: -0.610 eV per atom
* uncorrected energy: -114.34 eV for the cell shown